Material: WAuO2
Method: DFT, PBE+U
State: optimized geometry

Cell lengths 6.2530, 6.2530, 6.2530 Å; angles 121.50, 121.50, 87.42 degrees
Element x y z (fractional)
W: 0.0000 0.0000 0.0000
W: 0.7500 0.2500 0.5000
Au: 0.2500 0.7500 0.5000
Au: 0.5000 0.5000 0.0000
O: 0.3750 0.1241 0.2491
O: 0.8741 0.6250 0.7491
O: 0.8750 0.1259 0.7509
O: 0.8759 0.1250 0.2509

Properties
size of the total moment	2.63	Bohr magnetons per cell
distance to the lowest polymorph of the same formula	452	meV/atom